# 1
# SrSnO3

A relaxed SrSnO3 crystal (PBE, Alexandria via LeMat-Bulk).

Computed properties:
DOS(E_F): 0.000 states/eV/f.u.
Magnetization: 0.0000 μB/atom

a b c (Å): 7.7144 6.7717 7.1514
angles (deg): 90.00 115.94 90.00
Space group P2_1/c (No. 14)
Asymmetric unit:
Sr 0.1183 0.2303 0.0516 [4 per cell]
Sn 0.3178 0.6382 0.9109 [4 per cell]
O 0.0399 0.5382 0.7914 [4 per cell]
O 0.2650 0.6832 0.6085 [4 per cell]
O 0.3870 0.1646 0.4520 [4 per cell]

# 2
# SrSnO3

A relaxed SrSnO3 crystal (PBE, Alexandria via LeMat-Bulk).

Computed properties:
DOS(E_F): 0.000 states/eV/f.u.
Magnetization: 0.0000 μB/atom

a b c (Å): 3.7933 6.5818 7.0047
angles (deg): 90.00 92.06 90.00
Space group P2_1/m (No. 11)
Asymmetric unit:
Sr 0.1947 0.2500 0.3773 [2 per cell]
Sn 0.3888 0.2500 0.8844 [2 per cell]
O 0.2794 0.6362 0.3798 [4 per cell]
O 0.3135 0.7500 0.8674 [2 per cell]

no.,calculated volume (Å³ per cell),uncorrected formation energy (eV/atom),electronic total energy (Ry per atom)
1,335.9,-2.1044,-0.457
2,174.8,-1.4233,-0.407